An optimized crystal structure of SrMg2Si. Source: Alexandria via LeMat-Bulk, functional PBE.

Unit cell a=9.8722 b=9.8722 c=9.8722 alpha=21.50 beta=21.50 gamma=21.50
Closest atoms and distances in Å follow each position.
Sites, in units of the cell vectors:
Si1 0.5097 0.5097 0.5097  3 Mg 2.75
Mg1 0.9904 0.9904 0.9904  9 Mg 3.29-3.68
Mg2 0.2368 0.2368 0.2368  3 Si 2.75
Sr1 0.7631 0.7631 0.7631  3 Si 3.14

## Properties
Symmetry = R3m, No. 160
Formation energy without anion corrections = 0.203 eV per atom
DFT total energy = -9.48 eV per cell
D(E_F) = 0.438 states/eV/atom
Density = 2.41 Mg/m³